{
  "formula": "Nb3SbAs",
  "functional": "PBE-GGA",
  "state": "optimized geometry",
  "formation_energy_uncorrected_ev_per_atom": -0.04,
  "sg": "C2/m",
  "magmom_total_mub_per_fu": 0.0,
  "total_energy_ev_per_atom": -7.840,
  "lattice": [[5.7415, -2.4404, 0.0000], [5.7415, 2.4404, 0.0000], [-0.1529, 0.0000, 7.2116]],
  "species": ["Nb", "Nb", "Nb", "Nb", "Nb", "Nb", "Sb", "Sb", "As", "As"],
  "fractional_positions": [[0.0310, 0.0310, 0.1897], [0.1477, 0.1477, 0.5376], [0.3142, 0.3142, 0.2468], [0.6858, 0.6858, 0.7532], [0.8523, 0.8523, 0.4624], [0.9690, 0.9690, 0.8103], [0.4028, 0.4028, 0.6508], [0.5972, 0.5972, 0.3492], [0.1859, 0.1859, 0.9214], [0.8141, 0.8141, 0.0786]]
}

=====

{
  "formula": "MoRuW2",
  "functional": "PBE-GGA",
  "state": "optimized geometry",
  "sg": "Cmm2",
  "magmom_total_mub_per_fu": 0.4,
  "total_energy_ev_per_atom": -11.384,
  "lattice": [[1.6062, -2.2202, 0.0000], [1.6062, 2.2202, 0.0000], [0.0000, 0.0000, 8.7516]],
  "species": ["Mo", "Ru", "W", "W"],
  "fractional_positions": [[0.0000, 0.0000, 0.0000], [0.5000, 0.5000, 0.7557], [0.0000, 0.0000, 0.5124], [0.5000, 0.5000, 0.2553]]
}

=====

{
  "formula": "MgReAu2",
  "functional": "PBE-GGA",
  "state": "optimized geometry",
  "sg": "I-42d",
  "magmom_total_mub_per_fu": 0.5,
  "total_energy_ev_per_atom": -4.436,
  "lattice": [[-1.9784, 1.9784, 9.4607], [1.9784, -1.9784, 9.4607], [1.9784, 1.9784, -9.4607]],
  "species": ["Mg", "Mg", "Re", "Re", "Au", "Au", "Au", "Au"],
  "fractional_positions": [[0.0000, 0.0000, 0.0000], [0.7500, 0.2500, 0.5000], [0.2500, 0.7500, 0.5000], [0.5000, 0.5000, 0.0000], [0.1283, 0.6250, 0.0033], [0.3750, 0.3783, 0.5033], [0.6217, 0.1250, 0.9967], [0.8750, 0.8717, 0.4967]]
}

=====

Number 1: calculated density 7.812 g/cm3, V 202 Å³ per cell. Number 2: calculated density 15.023 g/cm3, V 62 Å³ per cell. Number 3: calculated density 13.553 g/cm3, V 148 Å³ per cell.